## a
A plane-wave DFT calculation with SCAN was carried out for a crystal of NiINF2 relaxed with PBEsol.

Output
Crystal system: tetragonal
D(E_F), states/eV/cell: 1.75
Mass density, Mg/m³: 6.399

a b c (Å): 3.715 3.715 4.467
angles (deg): 90.00 90.00 90.00
Last column: magnetic moment on the atom in μB.
Positions (direct):
Ni1 0.000 0.000 0.000  -1.46
N1 0.000 0.000 0.500  0.06
I1 0.500 0.500 0.500  0.07
F1 0.000 0.500 0.000  -0.03
F2 0.500 0.000 0.000  -0.03

## b
A plane-wave DFT calculation with SCAN was carried out for a crystal of NiINF2 relaxed with PBEsol.

Output
Crystal system: tetragonal
D(E_F), states/eV/cell: 3.04
Mass density, Mg/m³: 4.728

a b c (Å): 4.009 4.562 4.562
angles (deg): 90.00 90.00 90.00
Last column: magnetic moment on the atom in μB.
Positions (direct):
N1 0.500 0.000 0.000  0.01
Ni1 0.500 0.500 0.500  1.09
I1 0.000 0.000 0.000  0.00
F1 0.000 0.500 0.000  0.00
F2 0.000 0.000 0.500  0.00

Stability verdict: a, ahead by 967 meV per atom